Density functional theory data (PBE) for a relaxed Be5Re crystal.

Geometry as POSCAR:
```
Be5Re
1.0
0.000 3.011 3.011
3.011 0.000 3.011
3.011 3.011 0.000
Be Re
5 1
direct
0.000 0.000 0.000 Be
0.131 0.623 0.623 Be
0.623 0.131 0.623 Be
0.623 0.623 0.131 Be
0.623 0.623 0.623 Be
0.250 0.250 0.250 Re
```

Results
Calculated total energy: -5.226 eV/atom
Calculated formation energy: -46 meV per atom

Density functional theory data (PBE) for a relaxed BeRe crystal.

Geometry as POSCAR:
```
BeRe
1.0
1.364 0.788 7.934
-1.364 0.788 7.934
0.000 -1.575 7.934
Be Re
2 2
direct
0.128 0.128 0.128 Be
0.872 0.872 0.872 Be
0.378 0.378 0.378 Re
0.622 0.622 0.622 Re
```

Results
Calculated total energy: -7.854 eV/atom
Calculated formation energy: 233 meV per atom

Density functional theory data (PBE) for a relaxed Be2Re crystal.

Geometry as POSCAR:
```
Be2Re
1.0
-1.274 1.532 4.055
1.274 -1.532 4.055
1.274 1.532 -4.055
Be Re
2 1
direct
0.183 0.183 0.000 Be
0.817 0.817 0.000 Be
0.500 0.500 0.000 Re
```

Results
Calculated total energy: -6.615 eV/atom
Calculated formation energy: 19 meV per atom

Density functional theory data (PBE) for a relaxed BeRe7 crystal.

Geometry as POSCAR:
```
BeRe7
1.0
0.000 3.880 3.880
3.880 0.000 3.880
3.880 3.880 0.000
Be Re
1 7
direct
0.000 0.000 0.000 Be
0.000 0.000 0.500 Re
0.000 0.500 0.000 Re
0.000 0.500 0.500 Re
0.500 0.000 0.000 Re
0.500 0.000 0.500 Re
0.500 0.500 0.000 Re
0.500 0.500 0.500 Re
```

Results
Calculated total energy: -11.128 eV/atom
Calculated formation energy: 230 meV per atom

Density functional theory data (PBE) for a relaxed BeRe crystal.

Geometry as POSCAR:
```
BeRe
1.0
4.406 -1.498 0.000
4.406 1.498 0.000
-1.679 0.000 5.357
Be Re
3 3
direct
0.000 0.000 0.000 Be
0.025 0.025 0.460 Be
0.654 0.654 0.296 Be
0.341 0.341 0.168 Re
0.345 0.345 0.626 Re
0.662 0.662 0.812 Re
```

Results
Calculated total energy: -8.116 eV/atom
Calculated formation energy: -28 meV per atom

Density functional theory data (PBE) for a relaxed Be17Re2 crystal.

Geometry as POSCAR:
```
Be17Re2
1.0
3.620 2.090 3.504
-3.620 2.090 3.504
0.000 -4.180 3.504
Be Re
17 2
direct
0.000 0.000 0.500 Be
0.000 0.304 0.696 Be
0.000 0.500 0.000 Be
0.000 0.696 0.304 Be
0.102 0.102 0.102 Be
0.161 0.648 0.648 Be
0.304 0.000 0.696 Be
0.304 0.696 0.000 Be
0.352 0.352 0.839 Be
0.352 0.839 0.352 Be
0.500 0.000 0.000 Be
0.648 0.161 0.648 Be
0.648 0.648 0.161 Be
0.696 0.000 0.304 Be
0.696 0.304 0.000 Be
0.839 0.352 0.352 Be
0.898 0.898 0.898 Be
0.338 0.338 0.338 Re
0.662 0.662 0.662 Re
```

Results
Calculated total energy: -4.775 eV/atom
Calculated formation energy: -131 meV per atom

Density functional theory data (PBE) for a relaxed Be2Re crystal.

Geometry as POSCAR:
```
Be2Re
1.0
-1.239 1.687 3.959
1.239 -1.687 3.959
1.239 1.687 -3.959
Be Re
2 1
direct
0.217 0.217 0.000 Be
0.783 0.783 0.000 Be
0.500 0.000 0.500 Re
```

Results
Calculated total energy: -6.374 eV/atom
Calculated formation energy: 259 meV per atom

Density functional theory data (PBE) for a relaxed Be2Re crystal.

Geometry as POSCAR:
```
Be2Re
1.0
-1.674 1.674 11.096
1.674 -1.674 11.096
1.674 1.674 -11.096
Be Re
8 4
direct
0.035 0.785 0.250 Be
0.124 0.374 0.750 Be
0.215 0.965 0.250 Be
0.374 0.124 0.250 Be
0.626 0.876 0.750 Be
0.785 0.035 0.750 Be
0.876 0.626 0.250 Be
0.965 0.215 0.750 Be
0.302 0.552 0.750 Re
0.448 0.698 0.750 Re
0.552 0.302 0.250 Re
0.698 0.448 0.250 Re
```

Results
Calculated total energy: -6.805 eV/atom
Calculated formation energy: -172 meV per atom

Density functional theory data (PBE) for a relaxed BeRe crystal.

Geometry as POSCAR:
```
BeRe
1.0
4.037 0.000 0.000
0.000 2.890 0.000
0.000 0.000 4.056
Be Re
2 2
direct
0.250 0.000 0.175 Be
0.750 0.000 0.825 Be
0.250 0.500 0.683 Re
0.750 0.500 0.317 Re
```

Results
Calculated total energy: -8.038 eV/atom
Calculated formation energy: 49 meV per atom

Density functional theory data (PBE) for a relaxed Be2Re crystal.

Geometry as POSCAR:
```
Be2Re
1.0
5.395 0.000 0.000
0.000 5.395 0.000
0.000 0.000 5.395
Be Re
8 4
direct
0.122 0.122 0.122 Be
0.122 0.378 0.622 Be
0.378 0.622 0.122 Be
0.378 0.878 0.622 Be
0.622 0.122 0.378 Be
0.622 0.378 0.878 Be
0.878 0.622 0.378 Be
0.878 0.878 0.878 Be
0.000 0.000 0.500 Re
0.000 0.500 0.000 Re
0.500 0.000 0.000 Re
0.500 0.500 0.500 Re
```

Results
Calculated total energy: -5.245 eV/atom
Calculated formation energy: 1388 meV per atom

Density functional theory data (PBE) for a relaxed BeRe crystal.

Geometry as POSCAR:
```
BeRe
1.0
1.573 0.908 5.215
-1.573 0.908 5.215
0.000 -1.817 5.215
Be Re
2 2
direct
0.168 0.168 0.168 Be
0.832 0.832 0.832 Be
0.401 0.401 0.401 Re
0.599 0.599 0.599 Re
```

Results
Calculated total energy: -7.974 eV/atom
Calculated formation energy: 113 meV per atom

Density functional theory data (PBE) for a relaxed BeRe crystal.

Geometry as POSCAR:
```
BeRe
1.0
-3.578 3.578 3.578
3.578 -3.578 3.578
3.578 3.578 -3.578
Be Re
4 4
direct
0.000 0.000 0.628 Be
0.000 0.628 0.000 Be
0.372 0.372 0.372 Be
0.628 0.000 0.000 Be
0.000 0.000 0.255 Re
0.000 0.255 0.000 Re
0.255 0.000 0.000 Re
0.745 0.745 0.745 Re
```

Results
Calculated total energy: -6.212 eV/atom
Calculated formation energy: 1875 meV per atom

The highest calculated total energy belongs to which entry?
Be17Re2

Which formula does entry 6 have?
Be17Re2

What is the calculated total energy in the fourth record?
-11.128 eV/atom

What is the calculated total energy in the sixth record?
-4.775 eV/atom